# CaAgMo2 | Alexandria | PBE | optimized geometry
# Relative energy among the computed polymorphs (eV per formula unit): 0.95
# M_tot (μB per formula unit): 0.00
# Fermi-level density of states (states/eV/atom): 0.6481
data_CaAgMo2
_chemical_formula_sum 'Ca2 Ag2 Mo4'
_symmetry_space_group_name_H-M 'C 1 m 1'
_symmetry_Int_Tables_number 8
_symmetry_space_group_name_Hall 'C -2y'
_cell_length_a 9.5169
_cell_length_b 2.7201
_cell_length_c 5.8708
_cell_angle_alpha 90.00
_cell_angle_beta 93.12
_cell_angle_gamma 90.00
loop_
_atom_site_label
_atom_site_fract_x
_atom_site_fract_y
_atom_site_fract_z
_atom_site_occupancy
Ca1 0.0000 0.0000 0.0000 1
Ag1 0.2491 0.5000 0.2419 1
Mo1 0.2397 0.0000 0.6910 1
Mo2 0.4813 0.0000 0.5211 1

=====

# CaAg2Mo | Alexandria | PBE | optimized geometry
# Relative energy among the computed polymorphs (eV per formula unit): 0.28
# M_tot (μB per formula unit): 3.20
# Fermi-level density of states (states/eV/atom): 0.5674
data_CaAg2Mo
_chemical_formula_sum 'Ca4 Ag8 Mo4'
_symmetry_space_group_name_H-M 'F m -3 m'
_symmetry_Int_Tables_number 225
_symmetry_space_group_name_Hall '-F 4 2 3'
_cell_length_a 6.9512
_cell_length_b 6.9512
_cell_length_c 6.9512
_cell_angle_alpha 90.00
_cell_angle_beta 90.00
_cell_angle_gamma 90.00
loop_
_atom_site_label
_atom_site_fract_x
_atom_site_fract_y
_atom_site_fract_z
_atom_site_occupancy
Ca1 0.0000 0.0000 0.0000 1
Ag1 0.2500 0.2500 0.2500 1
Mo1 0.0000 0.0000 0.5000 1

=====

# CaAgMo2 | Alexandria | PBE | optimized geometry
# Relative energy among the computed polymorphs (eV per formula unit): 3.57
# M_tot (μB per formula unit): 0.00
# Fermi-level density of states (states/eV/atom): 1.6997
data_CaAgMo2
_chemical_formula_sum 'Ca4 Ag4 Mo8'
_symmetry_space_group_name_H-M 'F m -3 m'
_symmetry_Int_Tables_number 225
_symmetry_space_group_name_Hall '-F 4 2 3'
_cell_length_a 6.6533
_cell_length_b 6.6533
_cell_length_c 6.6533
_cell_angle_alpha 90.00
_cell_angle_beta 90.00
_cell_angle_gamma 90.00
loop_
_atom_site_label
_atom_site_fract_x
_atom_site_fract_y
_atom_site_fract_z
_atom_site_occupancy
Ca1 0.0000 0.0000 0.0000 1
Ag1 0.0000 0.0000 0.5000 1
Mo1 0.2500 0.2500 0.2500 1

=====

# CaAgMo2 | Alexandria | PBE | optimized geometry
# Relative energy among the computed polymorphs (eV per formula unit): 2.18
# M_tot (μB per formula unit): 0.00
# Fermi-level density of states (states/eV/atom): 1.5853
data_CaAgMo2
_chemical_formula_sum 'Ca3 Ag3 Mo6'
_symmetry_space_group_name_H-M 'R -3 m'
_symmetry_Int_Tables_number 166
_symmetry_space_group_name_Hall '-R 3 2"'
_cell_length_a 2.8830
_cell_length_b 2.8830
_cell_length_c 30.9097
_cell_angle_alpha 90.00
_cell_angle_beta 90.00
_cell_angle_gamma 120.00
loop_
_atom_site_label
_atom_site_fract_x
_atom_site_fract_y
_atom_site_fract_z
_atom_site_occupancy
Ca1 0.0000 0.0000 0.0000 1
Ag1 0.0000 0.0000 0.5000 1
Mo1 0.0000 0.0000 0.2454 1

=====

# CaAg2Mo | Alexandria | PBE | optimized geometry
# Relative energy among the computed polymorphs (eV per formula unit): 0.08
# M_tot (μB per formula unit): 0.70
# Fermi-level density of states (states/eV/atom): 0.8925
data_CaAg2Mo
_chemical_formula_sum 'Ca1 Ag2 Mo1'
_symmetry_space_group_name_H-M 'P 1 2/m 1'
_symmetry_Int_Tables_number 10
_symmetry_space_group_name_Hall '-P 2y'
_cell_length_a 2.8856
_cell_length_b 4.1958
_cell_length_c 6.5771
_cell_angle_alpha 90.00
_cell_angle_beta 90.07
_cell_angle_gamma 90.00
loop_
_atom_site_label
_atom_site_fract_x
_atom_site_fract_y
_atom_site_fract_z
_atom_site_occupancy
Ca1 0.0000 0.0000 0.0000 1
Ag1 0.4994 0.5000 0.7149 1
Mo1 0.0000 0.0000 0.5000 1

=====

# CaAg2Mo | Alexandria | PBE | optimized geometry
# Relative energy among the computed polymorphs (eV per formula unit): 0.55
# M_tot (μB per formula unit): 3.06
# Fermi-level density of states (states/eV/atom): 0.7448
data_CaAg2Mo
_chemical_formula_sum 'Ca2 Ag4 Mo2'
_symmetry_space_group_name_H-M 'I m m 2'
_symmetry_Int_Tables_number 44
_symmetry_space_group_name_Hall 'I 2 -2'
_cell_length_a 3.6492
_cell_length_b 4.7368
_cell_length_c 9.6330
_cell_angle_alpha 90.00
_cell_angle_beta 90.00
_cell_angle_gamma 90.00
loop_
_atom_site_label
_atom_site_fract_x
_atom_site_fract_y
_atom_site_fract_z
_atom_site_occupancy
Ca1 0.0000 0.0000 0.0000 1
Ag1 0.0000 0.0000 0.5070 1
Ag2 0.0000 0.5000 0.2415 1
Mo1 0.0000 0.5000 0.7682 1

=====

# CaAg2Mo | Alexandria | PBE | optimized geometry
# Relative energy among the computed polymorphs (eV per formula unit): 0.00
# M_tot (μB per formula unit): 0.00
# Fermi-level density of states (states/eV/atom): 0.7349
data_CaAg2Mo
_chemical_formula_sum 'Ca2 Ag4 Mo2'
_symmetry_space_group_name_H-M 'C m m 2'
_symmetry_Int_Tables_number 35
_symmetry_space_group_name_Hall 'C 2 -2'
_cell_length_a 4.1262
_cell_length_b 4.1470
_cell_length_c 9.0822
_cell_angle_alpha 90.00
_cell_angle_beta 90.00
_cell_angle_gamma 90.00
loop_
_atom_site_label
_atom_site_fract_x
_atom_site_fract_y
_atom_site_fract_z
_atom_site_occupancy
Ca1 0.0000 0.0000 0.0000 1
Ag1 0.0000 0.0000 0.4930 1
Ag2 0.0000 0.5000 0.7260 1
Mo1 0.0000 0.5000 0.2654 1

=====

# CaAg2Mo | Alexandria | PBE | optimized geometry
# Relative energy among the computed polymorphs (eV per formula unit): 0.46
# M_tot (μB per formula unit): 0.92
# Fermi-level density of states (states/eV/atom): 0.9469
data_CaAg2Mo
_chemical_formula_sum 'Ca2 Ag4 Mo2'
_symmetry_space_group_name_H-M 'C 1 2/m 1'
_symmetry_Int_Tables_number 12
_symmetry_space_group_name_Hall '-C 2y'
_cell_length_a 9.7649
_cell_length_b 2.8505
_cell_length_c 5.8685
_cell_angle_alpha 90.00
_cell_angle_beta 96.45
_cell_angle_gamma 90.00
loop_
_atom_site_label
_atom_site_fract_x
_atom_site_fract_y
_atom_site_fract_z
_atom_site_occupancy
Ca1 0.0000 0.0000 0.0000 1
Ag1 0.2419 0.0000 0.7146 1
Mo1 0.0000 0.5000 0.5000 1

=====

Summary of E_tot in hartree per atom
-0.223; -0.153; -0.199; -0.212; -0.155; -0.150; -0.155; -0.151
(order as listed above)
Summary of formation enthalpy at 0 K in eV per atom
0.565; 0.478; 1.220; 0.873; 0.428; 0.546; 0.408; 0.524
(order as listed above)